# KCa2Re (GGA-PBE, relaxed)
data_KCa2Re
_cell_length_a 7.722
_cell_length_b 7.722
_cell_length_c 7.722
_cell_angle_alpha 90.00
_cell_angle_beta 90.00
_cell_angle_gamma 90.00
_space_group_name_H-M_alt 'F m -3 m'
_space_group_IT_number 225
_space_group_name_Hall '-F 4 2 3'
loop_
_atom_site_label
_atom_site_fract_x
_atom_site_fract_y
_atom_site_fract_z
K1 0.000 0.000 0.000
Ca1 0.250 0.250 0.250
Re1 0.000 0.000 0.500
# Calculated total energy (eV/atom): -3.3700
# Excess energy over the best structure of this formula in the dataset (eV/f.u.): 1.30
# E_form (eV per formula unit): 4.1
# Crystal system: cubic